{
  "formula": "Gd2HoSi4Ni4",
  "functional": "GGA-PBE",
  "state": "optimized geometry",
  "magmom_total_mub_per_fu": 0.0,
  "total_energy_ha_per_atom": -0.2236,
  "lattice_angstrom": [[-1.974, 2.009, 11.599], [1.974, -2.009, 11.599], [1.974, 2.009, -11.599]],
  "species": ["Gd", "Gd", "Ho", "Si", "Si", "Si", "Si", "Ni", "Ni", "Ni", "Ni"],
  "frac_coords": [[0.149, 0.149, 0.000], [0.851, 0.851, 0.000], [0.500, 0.000, 0.500], [0.051, 0.551, 0.500], [0.302, 0.302, 0.000], [0.698, 0.698, 0.000], [0.949, 0.449, 0.500], [0.251, 0.751, 0.500], [0.402, 0.402, 0.000], [0.598, 0.598, 0.000], [0.749, 0.249, 0.500]]
}